Entry 1:
DFT (PBE-GGA) results for crystalline Li2Ni2Bi at its relaxed geometry.

Summary:
- calculated density (g/cm3) = 6.953
- formation energy from the elements (eV per atom) = 0.2043
- energy above the most stable polymorph in this dataset (kcal/mol of atoms) = 4.16
- total magnetic moment (μB/f.u.) = 0.00

Structure (POSCAR):
```
Li2Ni2Bi
1.0
-2.340 0.294 -2.841
1.514 -2.986 -1.557
-4.322 -4.820 0.662
Ni Bi Li
2 1 2
Direct
0.401 0.401 0.198
0.599 0.599 0.802
0.000 0.000 0.000
0.750 0.250 0.500
0.250 0.750 0.500
```

---

Entry 2:
DFT (PBE-GGA) results for crystalline Mg2ZnGaPd at its relaxed geometry.

Summary:
- calculated density (g/cm3) = 5.491
- formation energy from the elements (eV per atom) = -0.3867
- total magnetic moment (μB/f.u.) = 0.00

Structure (POSCAR):
```
Mg2ZnGaPd
1.0
-1.504 2.702 2.900
1.835 -4.479 5.125
4.752 3.835 -1.108
Mg Zn Ga Pd
4 2 2 2
Direct
0.750 0.891 0.601
0.750 0.681 0.033
0.250 0.109 0.399
0.250 0.319 0.967
0.250 0.897 0.943
0.750 0.103 0.057
0.250 0.543 0.660
0.750 0.457 0.340
0.250 0.690 0.328
0.750 0.310 0.672
```

---

Entry 3:
DFT (PBE-GGA) results for crystalline NaNb2Ir2 at its relaxed geometry.

Summary:
- calculated density (g/cm3) = 10.882
- formation energy from the elements (eV per atom) = -0.2253
- energy above the most stable polymorph in this dataset (kcal/mol of atoms) = 0.00
- total magnetic moment (μB/f.u.) = 0.00

Structure (POSCAR):
```
NaNb2Ir2
1.0
-5.673 1.796 5.296
-1.292 -7.761 1.248
1.949 0.011 2.084
Na Nb Ir
2 4 4
Direct
0.000 0.000 0.000
0.500 0.500 0.000
0.153 0.653 0.500
0.653 0.847 0.500
0.847 0.347 0.500
0.347 0.153 0.500
0.361 0.861 0.000
0.861 0.639 0.000
0.639 0.139 0.000
0.139 0.361 0.000
```

---

Entry 4:
DFT (PBE-GGA) results for crystalline Li2OsBr at its relaxed geometry.

Summary:
- energy relative to the elements, uncorrected (kJ/mol of atoms) = 40.3
- calculated density (g/cm3) = 7.691
- energy above the most stable polymorph in this dataset (kcal/mol of atoms) = 9.14
- total magnetic moment (μB/f.u.) = 0.00

Structure (POSCAR):
```
Li2OsBr
1.0
4.894 0.029 0.083
3.984 2.842 0.083
1.550 0.501 4.475
Br Li Os
1 2 1
Direct
0.250 0.250 0.250
0.985 0.985 0.997
0.515 0.515 0.503
0.750 0.750 0.750
```

---

Entry 5:
DFT (PBE-GGA) results for crystalline TcHgRh3 at its relaxed geometry.

Summary:
- calculated density (g/cm3) = 9.812
- formation energy from the elements (eV per atom) = 1.0790
- energy above the most stable polymorph in this dataset (kcal/mol of atoms) = 0.00
- total magnetic moment (μB/f.u.) = 0.00

Structure (POSCAR):
```
TcHgRh3
1.0
-0.943 1.139 4.445
-4.538 -0.901 -0.732
0.677 -4.453 1.285
Rh Hg Tc
3 1 1
Direct
0.000 0.500 0.000
0.000 0.000 0.500
0.500 0.000 0.000
0.500 0.500 0.500
0.000 0.000 0.000
```

---

Entry 6:
DFT (PBE-GGA) results for crystalline LiMg3Cd at its relaxed geometry.

Summary:
- calculated density (g/cm3) = 3.082
- formation energy from the elements (eV per atom) = -0.1103
- energy above the most stable polymorph in this dataset (kcal/mol of atoms) = 0.00
- total magnetic moment (μB/f.u.) = 0.00

Structure (POSCAR):
```
LiMg3Cd
1.0
0.407 -2.749 4.076
-2.817 -3.506 -2.083
7.138 -5.027 -1.190
Li Mg Cd
2 6 2
Direct
0.358 0.344 0.003
0.053 0.844 0.611
0.150 0.345 0.415
0.957 0.344 0.807
0.650 0.844 0.418
0.760 0.344 0.196
0.260 0.845 0.199
0.456 0.844 0.808
0.859 0.844 0.001
0.553 0.344 0.613
```